# 1
# K2SrTc (meta-GGA SCAN, PBEsol geometry)
# * VASP energy: -69.36 eV per formula unit
# * energy above the lowest structure with this stoichiometry: 1.09 eV/f.u.
# * energy relative to the elements: 1158 meV per atom
data_K2SrTc
_chemical_formula_sum 'K2 Sr1 Tc1'
_cell_length_a 3.561
_cell_length_b 3.561
_cell_length_c 12.260
_cell_angle_alpha 90.00
_cell_angle_beta 90.00
_cell_angle_gamma 90.00
_symmetry_space_group_name_H-M 'P 4/m m m'
_symmetry_Int_Tables_number 123
_symmetry_space_group_name_Hall '-P 4 2'
loop_
_atom_site_label
_atom_site_type_symbol
_atom_site_fract_x
_atom_site_fract_y
_atom_site_fract_z
K1 K 0.000 0.000 0.193
Sr1 Sr 0.500 0.500 0.500
Tc1 Tc 0.500 0.500 0.000

# 2
# Sr3GeO5 (meta-GGA SCAN, PBEsol geometry)
# * ΔE_f (raw): -25.21 eV/f.u.
# * VASP energy: -142.28 eV per formula unit
# * energy above the lowest structure with this stoichiometry: 0.00 eV/f.u.
data_Sr3GeO5
_chemical_formula_sum 'Sr12 Ge4 O20'
_cell_length_a 7.044
_cell_length_b 7.044
_cell_length_c 11.103
_cell_angle_alpha 90.00
_cell_angle_beta 90.00
_cell_angle_gamma 90.00
_symmetry_space_group_name_H-M 'P 4/n c c'
_symmetry_Int_Tables_number 130
loop_
_symmetry_equiv_pos_as_xyz
'x,y,z'
'-x,-y,-z'
'-y+1/2,x,z'
'y+1/2,-x,-z'
'-x+1/2,-y+1/2,z'
'x+1/2,y+1/2,-z'
'y,-x+1/2,z'
'-y,x+1/2,-z'
'x+1/2,-y,-z+1/2'
'-x+1/2,y,z+1/2'
'-y,-x,-z+1/2'
'y,x,z+1/2'
'-x,y+1/2,-z+1/2'
'x,-y+1/2,z+1/2'
'y+1/2,x+1/2,-z+1/2'
'-y+1/2,-x+1/2,z+1/2'
loop_
_atom_site_label
_atom_site_type_symbol
_atom_site_fract_x
_atom_site_fract_y
_atom_site_fract_z
Sr1 Sr 0.055 0.555 0.250
Sr2 Sr 0.250 0.250 0.012
Ge1 Ge 0.250 0.750 0.000
O1 O 0.074 0.664 0.901
O2 O 0.250 0.250 0.293

# 3
# Y2CdTc (meta-GGA SCAN, PBEsol geometry)
# * VASP energy: -120.93 eV per formula unit
# * energy relative to the elements: 58 meV per atom
data_Y2CdTc
_chemical_formula_sum 'Y4 Cd2 Tc2'
_cell_length_a 4.350
_cell_length_b 4.350
_cell_length_c 9.016
_cell_angle_alpha 90.00
_cell_angle_beta 90.00
_cell_angle_gamma 90.00
_symmetry_space_group_name_H-M 'I -4 m 2'
_symmetry_Int_Tables_number 119
_symmetry_space_group_name_Hall 'I -4 -2'
loop_
_atom_site_label
_atom_site_type_symbol
_atom_site_fract_x
_atom_site_fract_y
_atom_site_fract_z
Y1 Y 0.000 0.000 0.000
Y2 Y 0.000 0.500 0.250
Cd1 Cd 0.000 0.000 0.500
Tc1 Tc 0.000 0.500 0.750

# 4
# Sc3ReB (meta-GGA SCAN, PBEsol geometry)
# * VASP energy: -119.59 eV per formula unit
# * energy relative to the elements: 330 meV per atom
data_Sc3ReB
_chemical_formula_sum 'Sc3 Re1 B1'
_cell_length_a 4.472
_cell_length_b 4.472
_cell_length_c 4.472
_cell_angle_alpha 90.00
_cell_angle_beta 90.00
_cell_angle_gamma 90.00
_symmetry_space_group_name_H-M 'P m -3 m'
_symmetry_Int_Tables_number 221
_symmetry_space_group_name_Hall '-P 4 2 3'
loop_
_atom_site_label
_atom_site_type_symbol
_atom_site_fract_x
_atom_site_fract_y
_atom_site_fract_z
Sc1 Sc 0.000 0.000 0.500
Re1 Re 0.500 0.500 0.500
B1 B 0.000 0.000 0.000

# 5
# Li2Mn3SbO8 (meta-GGA SCAN, PBEsol geometry)
# * ΔE_f (raw): -28.89 eV/f.u.
# * VASP energy: -175.55 eV per formula unit
# * energy above the lowest structure with this stoichiometry: 0.51 eV/f.u.
data_Li2Mn3SbO8
_chemical_formula_sum 'Li4 Mn6 Sb2 O16'
_cell_length_a 6.010
_cell_length_b 5.754
_cell_length_c 10.504
_cell_angle_alpha 90.00
_cell_angle_beta 122.99
_cell_angle_gamma 90.00
_symmetry_space_group_name_H-M 'P 1 21/c 1'
_symmetry_Int_Tables_number 14
loop_
_symmetry_equiv_pos_as_xyz
'x,y,z'
'-x,-y,-z'
'-x,y+1/2,-z+1/2'
'x,-y+1/2,z+1/2'
loop_
_atom_site_label
_atom_site_type_symbol
_atom_site_fract_x
_atom_site_fract_y
_atom_site_fract_z
Li1 Li 0.105 0.005 0.363
Mn1 Mn 0.495 0.744 0.245
Mn2 Mn 0.500 0.000 0.000
Sb1 Sb 0.000 0.000 0.000
O1 O 0.230 0.746 0.502
O2 O 0.254 0.219 0.995
O3 O 0.259 0.501 0.732
O4 O 0.317 0.005 0.776

# 6
# Zr2IrPt (meta-GGA SCAN, PBEsol geometry)
# * VASP energy: -207.62 eV per formula unit
# * energy relative to the elements: -1233 meV per atom
data_Zr2IrPt
_chemical_formula_sum 'Zr4 Ir2 Pt2'
_cell_length_a 4.307
_cell_length_b 3.322
_cell_length_c 10.214
_cell_angle_alpha 90.00
_cell_angle_beta 90.00
_cell_angle_gamma 90.00
_symmetry_space_group_name_H-M 'A m m 2'
_symmetry_Int_Tables_number 38
loop_
_symmetry_equiv_pos_as_xyz
'x,y,z'
'-x,-y,z'
'-x,y,z'
'x,-y,z'
'x,y+1/2,z+1/2'
'-x,-y+1/2,z+1/2'
'-x,y+1/2,z+1/2'
'x,-y+1/2,z+1/2'
loop_
_atom_site_label
_atom_site_type_symbol
_atom_site_fract_x
_atom_site_fract_y
_atom_site_fract_z
Zr1 Zr 0.000 0.000 0.000
Zr2 Zr 0.500 0.000 0.286
Ir1 Ir 0.000 0.000 0.738
Pt1 Pt 0.500 0.000 0.554

# 7
# Cr2CuOs (meta-GGA SCAN, PBEsol geometry)
# * VASP energy: -123.16 eV per formula unit
# * energy relative to the elements: 172 meV per atom
data_Cr2CuOs
_chemical_formula_sum 'Cr2 Cu1 Os1'
_cell_length_a 2.907
_cell_length_b 2.907
_cell_length_c 5.735
_cell_angle_alpha 90.00
_cell_angle_beta 90.00
_cell_angle_gamma 90.00
_symmetry_space_group_name_H-M 'P 4 m m'
_symmetry_Int_Tables_number 99
loop_
_symmetry_equiv_pos_as_xyz
'x,y,z'
'-y,x,z'
'-x,-y,z'
'y,-x,z'
'-x,y,z'
'y,x,z'
'x,-y,z'
'-y,-x,z'
loop_
_atom_site_label
_atom_site_type_symbol
_atom_site_fract_x
_atom_site_fract_y
_atom_site_fract_z
Cr1 Cr 0.000 0.000 0.000
Cr2 Cr 0.500 0.500 0.224
Cu1 Cu 0.000 0.000 0.464
Os1 Os 0.500 0.500 0.741

# 8
# InHgW2 (meta-GGA SCAN, PBEsol geometry)
# * VASP energy: -238.69 eV per formula unit
# * energy above the lowest structure with this stoichiometry: 0.00 eV/f.u.
# * energy relative to the elements: 558 meV per atom
data_InHgW2
_chemical_formula_sum 'In1 Hg1 W2'
_cell_length_a 3.174
_cell_length_b 3.174
_cell_length_c 7.439
_cell_angle_alpha 90.00
_cell_angle_beta 90.00
_cell_angle_gamma 90.00
_symmetry_space_group_name_H-M 'P 4 m m'
_symmetry_Int_Tables_number 99
loop_
_symmetry_equiv_pos_as_xyz
'x,y,z'
'-y,x,z'
'-x,-y,z'
'y,-x,z'
'-x,y,z'
'y,x,z'
'x,-y,z'
'-y,-x,z'
loop_
_atom_site_label
_atom_site_type_symbol
_atom_site_fract_x
_atom_site_fract_y
_atom_site_fract_z
In1 In 0.000 0.000 0.000
Hg1 Hg 0.500 0.500 0.702
W1 W 0.000 0.000 0.437
W2 W 0.500 0.500 0.257

# 9
# CsFe2Mo (meta-GGA SCAN, PBEsol geometry)
# * VASP energy: -101.00 eV per formula unit
# * energy relative to the elements: 1990 meV per atom
data_CsFe2Mo
_chemical_formula_sum 'Cs4 Fe8 Mo4'
_cell_length_a 6.415
_cell_length_b 6.415
_cell_length_c 6.415
_cell_angle_alpha 90.00
_cell_angle_beta 90.00
_cell_angle_gamma 90.00
_symmetry_space_group_name_H-M 'F m -3 m'
_symmetry_Int_Tables_number 225
_symmetry_space_group_name_Hall '-F 4 2 3'
loop_
_atom_site_label
_atom_site_type_symbol
_atom_site_fract_x
_atom_site_fract_y
_atom_site_fract_z
Cs1 Cs 0.000 0.000 0.000
Fe1 Fe 0.250 0.250 0.250
Mo1 Mo 0.000 0.000 0.500

# 10
# HoInCu (meta-GGA SCAN, PBEsol geometry)
# * VASP energy: -99.16 eV per formula unit
# * energy relative to the elements: -528 meV per atom
data_HoInCu
_chemical_formula_sum 'Ho3 In3 Cu3'
_cell_length_a 7.4059
_cell_length_b 7.4059
_cell_length_c 3.7617
_cell_angle_alpha 90.00
_cell_angle_beta 90.00
_cell_angle_gamma 120.00
_symmetry_space_group_name_H-M 'P -6 2 m'
_symmetry_Int_Tables_number 189
_symmetry_space_group_name_Hall 'P -6 -2'
loop_
_atom_site_label
_atom_site_type_symbol
_atom_site_fract_x
_atom_site_fract_y
_atom_site_fract_z
Ho1 Ho 0.0000 0.5911 0.0000
In1 In 0.0000 0.2575 0.5000
Cu1 Cu 0.0000 0.0000 0.0000
Cu2 Cu 0.3333 0.6667 0.5000

# 11
# SrTaW (meta-GGA SCAN, PBEsol geometry)
# * VASP energy: -154.81 eV per formula unit
# * energy above the lowest structure with this stoichiometry: 1.53 eV/f.u.
# * energy relative to the elements: 1246 meV per atom
data_SrTaW
_chemical_formula_sum 'Sr1 Ta1 W1'
_cell_length_a 4.9280
_cell_length_b 4.9280
_cell_length_c 2.8757
_cell_angle_alpha 90.00
_cell_angle_beta 90.00
_cell_angle_gamma 120.00
_symmetry_space_group_name_H-M 'P 3 m 1'
_symmetry_Int_Tables_number 156
loop_
_symmetry_equiv_pos_as_xyz
'x,y,z'
'-y,x-y,z'
'-x+y,-x,z'
'-y,-x,z'
'-x+y,y,z'
'x,x-y,z'
loop_
_atom_site_label
_atom_site_type_symbol
_atom_site_fract_x
_atom_site_fract_y
_atom_site_fract_z
Sr1 Sr 0.0000 0.0000 0.0000
Ta1 Ta 0.3333 0.6667 0.6181
W1 W 0.6667 0.3333 0.3745

Please write out number 1 again, unchanged.
# K2SrTc (meta-GGA SCAN, PBEsol geometry)
# * VASP energy: -69.36 eV per formula unit
# * energy above the lowest structure with this stoichiometry: 1.09 eV/f.u.
# * energy relative to the elements: 1158 meV per atom
data_K2SrTc
_chemical_formula_sum 'K2 Sr1 Tc1'
_cell_length_a 3.561
_cell_length_b 3.561
_cell_length_c 12.260
_cell_angle_alpha 90.00
_cell_angle_beta 90.00
_cell_angle_gamma 90.00
_symmetry_space_group_name_H-M 'P 4/m m m'
_symmetry_Int_Tables_number 123
_symmetry_space_group_name_Hall '-P 4 2'
loop_
_atom_site_label
_atom_site_type_symbol
_atom_site_fract_x
_atom_site_fract_y
_atom_site_fract_z
K1 K 0.000 0.000 0.193
Sr1 Sr 0.500 0.500 0.500
Tc1 Tc 0.500 0.500 0.000

Question: Look up the VASP energy of the eighth one.
Answer: -238.69 eV per formula unit